[1]
VAgN2: optimized geometry, PBE-GGA.

Properties
**Density of states at the Fermi level**: 0.995 states/eV/f.u.
**Relative energy among the computed polymorphs**: 0.104 eV/atom
**Energy**: -7.274 eV per atom

Unit cell a=2.9199 b=2.9199 c=19.0529 alpha=90.00 beta=90.00 gamma=120.00
Sites, in units of the cell vectors:
V  0.0000  0.0000  0.0000
V  0.3333  0.6667  0.6667
V  0.6667  0.3333  0.3333
Ag  0.0000  0.0000  0.5000
Ag  0.3333  0.6667  0.1667
Ag  0.6667  0.3333  0.8333
N  0.0000  0.0000  0.3887
N  0.0000  0.0000  0.6113
N  0.3333  0.6667  0.0554
N  0.3333  0.6667  0.2780
N  0.6667  0.3333  0.7220
N  0.6667  0.3333  0.9446

---

[2]
Y2VAgN: optimized geometry, PBE-GGA.

Properties
**Density of states at the Fermi level**: 2.517 states/eV/f.u.
**Energy**: -7.342 eV per atom

Unit cell a=4.9662 b=4.9662 c=3.8899 alpha=90.00 beta=90.00 gamma=90.00
Sites, in units of the cell vectors:
Y  0.0000  0.5000  0.0000
Y  0.5000  0.0000  0.0000
V  0.0000  0.0000  0.5000
Ag  0.5000  0.5000  0.5000
N  0.0000  0.0000  0.0000

---

[3]
ZrV2AgN: optimized geometry, PBE-GGA.

Properties
**Density of states at the Fermi level**: 8.436 states/eV/f.u.
**Energy**: -4.921 eV per atom

Unit cell a=4.7094 b=4.7094 c=5.1208 alpha=90.00 beta=90.00 gamma=90.00
Sites, in units of the cell vectors:
Zr  0.0000  0.0000  0.0000
V  0.0000  0.5000  0.0000
V  0.5000  0.0000  0.0000
Ag  0.0000  0.0000  0.5000
N  0.5000  0.5000  0.5000

---

[4]
Zr2VAgN: optimized geometry, PBE-GGA.

Properties
**Density of states at the Fermi level**: 3.918 states/eV/f.u.
**Energy**: -8.130 eV per atom

Unit cell a=4.5732 b=4.5732 c=3.8875 alpha=90.00 beta=90.00 gamma=90.00
Sites, in units of the cell vectors:
Zr  0.0000  0.5000  0.0000
Zr  0.5000  0.0000  0.0000
V  0.0000  0.0000  0.5000
Ag  0.5000  0.5000  0.5000
N  0.0000  0.0000  0.0000

---

[5]
Ag3WN: optimized geometry, PBE-GGA.

Properties
**Density of states at the Fermi level**: 2.811 states/eV/f.u.
**Relative energy among the computed polymorphs**: 0.000 eV/atom
**Energy**: -4.436 eV per atom

Unit cell a=4.3752 b=4.3752 c=4.3752 alpha=90.00 beta=90.00 gamma=90.00
Sites, in units of the cell vectors:
Ag  0.0000  0.0000  0.5000
Ag  0.0000  0.5000  0.0000
Ag  0.5000  0.0000  0.0000
W  0.5000  0.5000  0.5000
N  0.0000  0.0000  0.0000

---

[6]
AgWN2: optimized geometry, PBE-GGA.

Properties
**Density of states at the Fermi level**: 1.204 states/eV/f.u.
**Relative energy among the computed polymorphs**: 0.051 eV/atom
**Energy**: -7.999 eV per atom

Unit cell a=4.9867 b=4.9867 c=9.6901 alpha=90.00 beta=90.00 gamma=90.00
Sites, in units of the cell vectors:
Ag  0.0000  0.0000  0.0000
Ag  0.0000  0.5000  0.2500
Ag  0.5000  0.0000  0.7500
Ag  0.5000  0.5000  0.5000
W  0.0000  0.0000  0.5000
W  0.0000  0.5000  0.7500
W  0.5000  0.0000  0.2500
W  0.5000  0.5000  0.0000
N  0.1590  0.2500  0.6250
N  0.2500  0.6590  0.8750
N  0.2500  0.8410  0.3750
N  0.3410  0.2500  0.1250
N  0.6590  0.7500  0.1250
N  0.7500  0.1590  0.3750
N  0.7500  0.3410  0.8750
N  0.8410  0.7500  0.6250